First-principles (PBE) data for a geometry-optimized TiCr3Ru structure, as listed in Alexandria.

abc: 4.409 4.409 4.409
angles: 90.00 90.00 90.00
Space group Pm-3m (No. 221)
One atom of each set of equivalent atoms:
Ti1 0.000 0.000 0.000
Cr1 0.000 0.500 0.500
Ru1 0.500 0.500 0.500

Summary:
Total DFT energy (no corrections) = -7.87 eV/atom
DFT formation energy = 6.70 eV per formula unit
Calculated volume = 85.7 Å³/cell
E above lowest polymorph = 0 meV/atom